Record 1
This record from Alexandria via LeMat-Bulk describes an optimized crystal structure of CdFe2Re2. The functional is PBE.

The density of states at the Fermi level comes out at 7.73 states/eV per cell. The value obtained for the formation energy is 312 meV/atom. The total magnetic moment comes out at 0.000 μB/atom. As for the space-group type: P4/mbm, No. 127.

a b c (Å): 7.2943 7.2943 2.6815
angles (deg): 90.00 90.00 90.00
Element x y z (fractional)
Cd 0.0000 0.0000 0.0000
Cd 0.5000 0.5000 0.0000
Fe 0.1245 0.3755 0.0000
Fe 0.3755 0.8755 0.0000
Fe 0.6245 0.1245 0.0000
Fe 0.8755 0.6245 0.0000
Re 0.1625 0.6625 0.5000
Re 0.3375 0.1625 0.5000
Re 0.6625 0.8375 0.5000
Re 0.8375 0.3375 0.5000

***

Record 2
This record from Alexandria via LeMat-Bulk describes an optimized crystal structure of CdFeRe2. The functional is PBE.

The density of states at the Fermi level comes out at 25.54 states/eV per cell. The value obtained for the formation energy is 920 meV/atom. The total magnetic moment comes out at 0.000 μB/atom. As for the space-group type: I-42d, No. 122.

a b c (Å): 7.2279 7.2279 5.0513
angles (deg): 90.00 90.00 90.00
Element x y z (fractional)
Cd 0.0000 0.0000 0.0000
Cd 0.0000 0.5000 0.2500
Cd 0.5000 0.0000 0.7500
Cd 0.5000 0.5000 0.5000
Fe 0.0000 0.0000 0.5000
Fe 0.0000 0.5000 0.7500
Fe 0.5000 0.0000 0.2500
Fe 0.5000 0.5000 0.0000
Re 0.1848 0.2500 0.6250
Re 0.2500 0.6848 0.8750
Re 0.2500 0.8152 0.3750
Re 0.3152 0.2500 0.1250
Re 0.6848 0.7500 0.1250
Re 0.7500 0.1848 0.3750
Re 0.7500 0.3152 0.8750
Re 0.8152 0.7500 0.6250